# Pr4YHo2Sc

An optimized crystal structure of Pr4YHo2Sc (PBE-GGA, Alexandria).

```
8
Lattice="-4.9329 0.4319 -1.4163 -0.3719 -5.1175 -0.2655 -3.1259 -5.4089 9.2375" Properties=species:S:1:pos:R:3 pbc="T T T"
Pr -2.6070 -7.8938 6.6724
Pr -5.8236 -2.2006 0.8832
Pr -3.5428 -4.9763 1.4572
Pr -4.8878 -5.1181 6.0984
Y -5.7782 -7.7517 8.3965
Ho -3.1259 -5.4089 9.2375
Ho -4.0294 -2.4885 3.9106
Sc -1.7489 -5.2632 4.4860
```

Output
The space-group type is No. 47. For the uncorrected energy, the calculation gives -5.105 eV per atom. For the total magnetic moment, the calculation gives 0.0 μB per formula unit.